1.
Crystalline AgCl2 at its relaxed geometry. Source: the Alexandria database, functional PBE-GGA.

final energy = -2.2958 eV per atom

a = 3.634 Å, b = 21.359 Å, c = 3.863 Å
α = 90.00°, β = 90.00°, γ = 90.00°
Space group Cmcm (No. 63)
One atom of each set of equivalent atoms:
Ag (0.000, 0.089, 0.250) (multiplicity 4)
Cl (0.000, 0.250, 0.750) (multiplicity 4)
Cl (0.000, 0.418, 0.250) (multiplicity 4)

2.
Crystalline Rb2PtPb at its relaxed geometry. Source: the Alexandria database, functional PBE-GGA.

formation enthalpy at 0 K = -75 meV per atom

a = 12.681 Å, b = 12.681 Å, c = 5.218 Å
α = 90.00°, β = 90.00°, γ = 90.00°
Space group I-42d (No. 122)
One atom of each set of equivalent atoms:
Rb (0.076, 0.250, 0.125) (multiplicity 8)
Pt (0.000, 0.000, 0.000) (multiplicity 4)
Pb (0.000, 0.000, 0.500) (multiplicity 4)

3.
Crystalline ThHIrRh2 at its relaxed geometry. Source: the Alexandria database, functional PBE-GGA.

final energy = -7.4681 eV per atom

a = 4.204 Å, b = 4.204 Å, c = 4.133 Å
α = 90.00°, β = 90.00°, γ = 90.00°
Space group P4/mmm (No. 123)
One atom of each set of equivalent atoms:
Th (0.000, 0.000, 0.000) (multiplicity 1)
H (0.500, 0.500, 0.500) (multiplicity 1)
Ir (0.500, 0.500, 0.000) (multiplicity 1)
Rh (0.000, 0.500, 0.500) (multiplicity 2)

4.
Crystalline Ba2Ga3CuGe4 at its relaxed geometry. Source: the Alexandria database, functional PBE-GGA.

formation enthalpy at 0 K = -351 meV per atom

a = 4.681 Å, b = 4.681 Å, c = 10.399 Å
α = 90.00°, β = 90.00°, γ = 90.00°
Space group P-4m2 (No. 115)
One atom of each set of equivalent atoms:
Ba (0.000, 0.500, 0.244) (multiplicity 2)
Ga (0.000, 0.000, 0.000) (multiplicity 1)
Ga (0.000, 0.500, 0.628) (multiplicity 2)
Cu (0.500, 0.500, 0.000) (multiplicity 1)
Ge (0.000, 0.000, 0.500) (multiplicity 1)
Ge (0.000, 0.500, 0.879) (multiplicity 2)
Ge (0.500, 0.500, 0.500) (multiplicity 1)

5.
Crystalline Bi3SbS at its relaxed geometry. Source: the Alexandria database, functional PBE-GGA.

final energy = -3.5459 eV per atom

a = 5.410 Å, b = 5.410 Å, c = 5.410 Å
α = 90.00°, β = 90.00°, γ = 90.00°
Space group Pm-3m (No. 221)
One atom of each set of equivalent atoms:
Bi (0.000, 0.000, 0.500) (multiplicity 3)
Sb (0.500, 0.500, 0.500) (multiplicity 1)
S (0.000, 0.000, 0.000) (multiplicity 1)

6.
Crystalline LaDy2Tc at its relaxed geometry. Source: the Alexandria database, functional PBE-GGA.

formation enthalpy at 0 K = 233 meV per atom

a = 3.4474 Å, b = 3.4474 Å, c = 32.9499 Å
α = 90.00°, β = 90.00°, γ = 120.00°
Space group R-3m (No. 166, hexagonal axes)
One atom of each set of equivalent atoms:
La (0.0000, 0.0000, 0.0000) (multiplicity 3)
Dy (0.0000, 0.0000, 0.1058) (multiplicity 6)
Tc (0.0000, 0.0000, 0.5000) (multiplicity 3)